# 1
Density functional theory data (PBE) for a relaxed Pa2Ni9Pt3 crystal.

a b c (Å): 3.419 7.891 7.891
angles (deg): 78.72 77.49 77.49
Positions (direct):
Pt 0.000 0.000 0.000
Ni 0.166 0.126 0.541
Ni 0.166 0.541 0.126
Pt 0.688 0.312 0.312
Ni 0.834 0.459 0.874
Ni 0.350 0.037 0.263
Ni 0.650 0.963 0.737
Ni 0.000 0.500 0.500
Pt 0.312 0.688 0.688
Pa 0.500 0.284 0.716
Ni 0.834 0.874 0.459
Pa 0.500 0.716 0.284
Ni 0.350 0.263 0.037
Ni 0.650 0.737 0.963

Results
Energy of formation from the pure elements, meV per atom: -177



# 2
Density functional theory data (PBE) for a relaxed NaNpZnTe3 crystal.

a b c (Å): 4.385 9.039 10.445
angles (deg): 105.24 90.00 90.00
Positions (direct):
Na 0.250 0.201 0.204
Na 0.750 0.799 0.796
Te 0.250 0.777 0.469
Te 0.750 0.223 0.531
Zn 0.250 0.085 0.602
Np 0.250 0.678 0.149
Te 0.750 0.440 0.161
Zn 0.750 0.915 0.398
Te 0.750 0.924 0.144
Te 0.250 0.076 0.856
Np 0.750 0.322 0.851
Te 0.250 0.560 0.839

Results
Formation energy (no corrections), eV per atom: -0.638



# 3
Density functional theory data (PBE) for a relaxed Hf2Ti2Co crystal.

a b c (Å): 6.092 3.162 5.822
angles (deg): 74.24 58.45 90.00
Positions (direct):
Hf 0.260 0.760 0.479
Hf 0.740 0.240 0.521
Ti 0.720 0.500 0.000
Co 0.000 0.000 0.000
Ti 0.280 0.500 0.000

Results
Energy of formation from the pure elements, meV per atom: -71



# 4
Density functional theory data (PBE) for a relaxed Ag2PtW crystal.

a b c (Å): 5.303 5.303 2.743
angles (deg): 90.00 90.00 119.65
Positions (direct):
Ag 0.000 0.000 0.000
Ag 0.500 0.500 0.000
Pt 0.500 0.000 0.500
W 0.000 0.500 0.500

Results
Energy of formation from the pure elements, meV per atom: 477